Version one
A plane-wave DFT calculation with PBE-GGA was carried out for a relaxed structure of ReBNO.

Cell: 3.356 3.356 6.539 Å, 90.00 90.00 90.00°
Space group P4/nmm (No. 129, origin choice 2)
Inequivalent atoms, fractional coordinates:
Re 0.250 0.250 0.199 (multiplicity 2)
B 0.250 0.750 0.500 (multiplicity 2)
N 0.250 0.250 0.494 (multiplicity 2)
O 0.250 0.750 0.000 (multiplicity 2)

***

Version two
A plane-wave DFT calculation with PBE-GGA was carried out for a relaxed structure of ReBNO.

Cell: 4.774 6.397 4.521 Å, 90.00 90.00 90.00°
Space group Pca2_1 (No. 29)
Inequivalent atoms, fractional coordinates:
Re 0.065 0.083 0.000 (multiplicity 4)
B 0.105 0.579 0.978 (multiplicity 4)
N 0.091 0.592 0.618 (multiplicity 4)
O 0.035 0.224 0.587 (multiplicity 4)

***

Most stable structure, least stable structure: version two, version one.

***

Version one
A plane-wave DFT calculation with PBE-GGA was carried out for a relaxed structure of ReBNO.

Cell: 3.456 3.456 6.578 Å, 90.00 90.00 90.00°
Space group P4/nmm (No. 129, origin choice 2)
Inequivalent atoms, fractional coordinates:
Re 0.250 0.750 0.000 (multiplicity 2)
B 0.250 0.250 0.415 (multiplicity 2)
N 0.250 0.250 0.189 (multiplicity 2)
O 0.250 0.750 0.500 (multiplicity 2)

***

Version two
A plane-wave DFT calculation with PBE-GGA was carried out for a relaxed structure of ReBNO.

Cell: 2.667 5.630 4.597 Å, 90.00 90.00 90.00°
Space group Pmc2_1 (No. 26)
Inequivalent atoms, fractional coordinates:
Re 0.000 0.098 0.000 (multiplicity 2)
B 0.500 0.399 0.443 (multiplicity 2)
N 0.500 0.370 0.107 (multiplicity 2)
O 0.000 0.275 0.552 (multiplicity 2)

***

Most stable structure, least stable structure: version two, version one.

***

Version one
A plane-wave DFT calculation with PBE-GGA was carried out for a relaxed structure of TbBNO.

Cell: 2.791 5.435 5.627 Å, 90.00 90.00 90.00°
Space group Pmc2_1 (No. 26)
Inequivalent atoms, fractional coordinates:
Tb 0.000 0.219 0.000 (multiplicity 2)
B 0.500 0.295 0.488 (multiplicity 2)
N 0.000 0.361 0.395 (multiplicity 2)
O 0.500 0.108 0.671 (multiplicity 2)

***

Version two
A plane-wave DFT calculation with PBE-GGA was carried out for a relaxed structure of TbBNO.

Cell: 5.169 7.289 5.154 Å, 90.00 90.00 90.00°
Space group Pca2_1 (No. 29)
Inequivalent atoms, fractional coordinates:
Tb 0.004 0.152 0.000 (multiplicity 4)
B 0.012 0.628 0.000 (multiplicity 4)
N 0.005 0.816 0.000 (multiplicity 4)
O 0.025 0.455 0.003 (multiplicity 4)

***

Version three
A plane-wave DFT calculation with PBE-GGA was carried out for a relaxed structure of TbBNO.

Cell: 4.945 7.649 4.530 Å, 90.00 90.00 90.00°
Space group Pca2_1 (No. 29)
Inequivalent atoms, fractional coordinates:
Tb 0.000 0.178 0.000 (multiplicity 4)
B 0.128 0.496 0.258 (multiplicity 4)
N 0.120 0.498 0.931 (multiplicity 4)
O 0.003 0.876 0.001 (multiplicity 4)

***

Version four
A plane-wave DFT calculation with PBE-GGA was carried out for a relaxed structure of TbBNO.

Cell: 4.782 4.782 4.447 Å, 90.00 90.00 90.00°
Space group P4/nmm (No. 129, origin choice 2)
Inequivalent atoms, fractional coordinates:
Tb 0.250 0.750 0.000 (multiplicity 2)
B 0.250 0.250 0.408 (multiplicity 2)
N 0.250 0.250 0.102 (multiplicity 2)
O 0.250 0.750 0.500 (multiplicity 2)

***

Most stable structure, least stable structure: version three, version four.

***

Version one
A plane-wave DFT calculation with PBE-GGA was carried out for a relaxed structure of ZrBNO.

Cell: 2.802 5.684 5.245 Å, 90.00 90.00 90.00°
Space group Pmc2_1 (No. 26)
Inequivalent atoms, fractional coordinates:
Zr 0.000 0.210 0.000 (multiplicity 2)
B 0.500 0.281 0.387 (multiplicity 2)
N 0.000 0.167 0.436 (multiplicity 2)
O 0.500 0.472 0.859 (multiplicity 2)

***

Version two
A plane-wave DFT calculation with PBE-GGA was carried out for a relaxed structure of ZrBNO.

Cell: 2.881 6.087 4.593 Å, 90.00 90.00 90.00°
Space group Pmc2_1 (No. 26)
Inequivalent atoms, fractional coordinates:
Zr 0.000 0.148 0.000 (multiplicity 2)
B 0.500 0.395 0.556 (multiplicity 2)
N 0.500 0.411 0.875 (multiplicity 2)
O 0.000 0.241 0.478 (multiplicity 2)

***

Version three
A plane-wave DFT calculation with PBE-GGA was carried out for a relaxed structure of ZrBNO.

Cell: 4.395 4.395 4.328 Å, 90.00 90.00 90.00°
Space group P4/nmm (No. 129, origin choice 2)
Inequivalent atoms, fractional coordinates:
Zr 0.250 0.750 0.000 (multiplicity 2)
B 0.250 0.250 0.480 (multiplicity 2)
N 0.250 0.250 0.149 (multiplicity 2)
O 0.250 0.750 0.500 (multiplicity 2)

***

Version four
A plane-wave DFT calculation with PBE-GGA was carried out for a relaxed structure of ZrBNO.

Cell: 3.537 3.537 6.375 Å, 90.00 90.00 90.00°
Space group P4/nmm (No. 129, origin choice 2)
Inequivalent atoms, fractional coordinates:
Zr 0.250 0.250 0.195 (multiplicity 2)
B 0.250 0.750 0.500 (multiplicity 2)
N 0.250 0.250 0.531 (multiplicity 2)
O 0.250 0.750 0.000 (multiplicity 2)

***

Most stable structure, least stable structure: version one, version three.